This record from Alexandria describes a geometry-optimized GaTcAs3 structure. The functional is GGA-PBE.

Results
- M_tot (μB per formula unit) = 0.00
- calculated formation energy (eV/atom) = 0.44
- energy above the lowest structure with this stoichiometry (eV per formula unit) = 0.00

Cell: 4.8574 4.8574 4.8574 Å, 90.00 90.00 90.00°
With the nearest neighbours (Å) after each atom.
Space group Pm-3m (No. 221)
Unique sites:
Ga (0.0000, 0.0000, 0.0000)  12 As 3.43
Tc (0.5000, 0.5000, 0.5000)  6 As 2.43
As (0.0000, 0.5000, 0.5000)  2 Tc 2.43

***

This record from Alexandria describes a geometry-optimized AlV2Ge structure. The functional is GGA-PBE.

Results
- M_tot (μB per formula unit) = 0.00
- calculated formation energy (eV/atom) = -0.16

Cell: 3.7730 3.7730 3.9406 Å, 90.00 90.00 90.00°
With the nearest neighbours (Å) after each atom.
Space group P4/mmm (No. 123)
Unique sites:
Al (0.0000, 0.0000, 0.0000)  4 Ge 2.67, 8 V 2.73
V (0.0000, 0.5000, 0.5000)  4 V 2.67, 4 Ge 2.73, 4 Al 2.73
Ge (0.5000, 0.5000, 0.0000)  4 Al 2.67, 8 V 2.73

***

This record from Alexandria describes a geometry-optimized ZrReSe2 structure. The functional is GGA-PBE.

Results
- E_form (uncorrected) (eV/f.u.) = -1.7
- M_tot (μB per formula unit) = 0.24
- energy above the lowest structure with this stoichiometry (eV per formula unit) = 0.00

Cell: 3.6823 4.2194 12.9142 Å, 90.00 90.00 90.00°
With the nearest neighbours (Å) after each atom.
Space group Immm (No. 71)
Unique sites:
Zr (0.0000, 0.0000, 0.0000)  4 Se 2.78, 4 Re 2.80
Re (0.0000, 0.0000, 0.5000)  4 Se 2.59, 4 Zr 2.80
Se (0.0000, 0.5000, 0.1407)  2 Re 2.59, 2 Zr 2.78